# 1
A relaxed Ac2PrSm crystal. Source: Alexandria, functional PBE-GGA.

Properties
Space group: P4/mmm (123)
ΔE to the lowest computed polymorph: 0.0 meV per atom
Total DFT energy (no corrections): -4.40 eV per atom
Energy of formation: 0.03 eV/atom

Cell lengths 5.4627, 5.4627, 5.2967 Å; angles 90.00, 90.00, 90.00 degrees
Closest atoms and distances in Å follow each position.
Atoms (fractional coordinates):
Ac  0.0000  0.5000  0.0000  4 Pr 3.80, 4 Sm 3.80, 4 Ac 3.86
Ac  0.5000  0.0000  0.0000  4 Pr 3.80, 4 Sm 3.80, 4 Ac 3.86
Pr  0.0000  0.0000  0.5000  8 Ac 3.80, 4 Sm 3.86
Sm  0.5000  0.5000  0.5000  8 Ac 3.80, 4 Pr 3.86

# 2
A relaxed Ac12PrSm6 crystal. Source: Alexandria, functional PBE-GGA.

Properties
Space group: R-3 (148)
Total DFT energy (no corrections): -4.09 eV per atom
Energy of formation: 0.25 eV/atom

Cell lengths 9.8928, 9.8928, 9.8928 Å; angles 106.61, 106.61, 106.61 degrees
Closest atoms and distances in Å follow each position.
Atoms (fractional coordinates):
Ac  0.1266  0.2727  0.8284  5 Sm 3.61-3.96, 1 Pr 3.69, 5 Ac 3.72-3.98
Ac  0.1716  0.8734  0.7273  5 Sm 3.61-3.96, 1 Pr 3.69, 5 Ac 3.72-3.98
Ac  0.1908  0.4821  0.5795  4 Sm 3.61-4.02, 6 Ac 3.70-3.86
Ac  0.2727  0.8284  0.1266  5 Sm 3.61-3.96, 1 Pr 3.69, 5 Ac 3.72-3.98
Ac  0.4205  0.8092  0.5179  4 Sm 3.61-4.02, 6 Ac 3.70-3.86
Ac  0.4821  0.5795  0.1908  4 Sm 3.61-4.02, 6 Ac 3.70-3.86
Ac  0.5179  0.4205  0.8092  4 Sm 3.61-4.02, 6 Ac 3.70-3.86
Ac  0.5795  0.1908  0.4821  4 Sm 3.61-4.02, 6 Ac 3.70-3.86
Ac  0.7273  0.1716  0.8734  5 Sm 3.61-3.96, 1 Pr 3.69, 5 Ac 3.72-3.98
Ac  0.8092  0.5179  0.4205  4 Sm 3.61-4.02, 6 Ac 3.70-3.86
Ac  0.8284  0.1266  0.2727  5 Sm 3.61-3.96, 1 Pr 3.69, 5 Ac 3.72-3.98
Ac  0.8734  0.7273  0.1716  5 Sm 3.61-3.96, 1 Pr 3.69, 5 Ac 3.72-3.98
Pr  0.0000  0.0000  0.0000  6 Ac 3.69
Sm  0.0780  0.4615  0.1910  9 Ac 3.61-4.02, 1 Sm 4.03
Sm  0.1910  0.0780  0.4615  9 Ac 3.61-4.02, 1 Sm 4.03
Sm  0.4615  0.1910  0.0780  9 Ac 3.61-4.02, 1 Sm 4.03
Sm  0.5385  0.8090  0.9220  9 Ac 3.61-4.02, 1 Sm 4.03
Sm  0.8090  0.9220  0.5385  9 Ac 3.61-4.02, 1 Sm 4.03
Sm  0.9220  0.5385  0.8090  9 Ac 3.61-4.02, 1 Sm 4.03

# 3
A relaxed AcPr2Sm crystal. Source: Alexandria, functional PBE-GGA.

Properties
Space group: P4/mmm (123)
ΔE to the lowest computed polymorph: 0.0 meV per atom
Total DFT energy (no corrections): -4.57 eV per atom
Energy of formation: 0.02 eV/atom

Cell lengths 5.2992, 5.2992, 5.3302 Å; angles 90.00, 90.00, 90.00 degrees
Closest atoms and distances in Å follow each position.
Atoms (fractional coordinates):
Ac  0.0000  0.0000  0.0000  4 Sm 3.75, 8 Pr 3.76
Pr  0.0000  0.5000  0.5000  4 Pr 3.75, 4 Ac 3.76, 4 Sm 3.76
Pr  0.5000  0.0000  0.5000  4 Pr 3.75, 4 Ac 3.76, 4 Sm 3.76
Sm  0.5000  0.5000  0.0000  4 Ac 3.75, 8 Pr 3.76

# 4
A relaxed Ac3Pr3Sm2 crystal. Source: Alexandria, functional PBE-GGA.

Properties
Space group: Immm (71)
ΔE to the lowest computed polymorph: 2.8 meV per atom
Total DFT energy (no corrections): -4.48 eV per atom
Energy of formation: 0.03 eV/atom

Cell lengths 11.3913, 11.3913, 11.3913 Å; angles 152.95, 152.55, 38.93 degrees
Closest atoms and distances in Å follow each position.
Atoms (fractional coordinates):
Ac  0.0000  0.0000  0.0000  8 Pr 3.80-3.86, 4 Ac 3.86
Ac  0.3720  0.8720  0.5000  4 Sm 3.75, 6 Pr 3.80-3.83, 2 Ac 3.86
Ac  0.6280  0.1280  0.5000  4 Sm 3.75, 6 Pr 3.80-3.83, 2 Ac 3.86
Pr  0.1297  0.6297  0.5000  4 Sm 3.70-3.75, 6 Ac 3.80-3.86, 2 Pr 3.88
Pr  0.5000  0.5000  0.0000  8 Ac 3.80-3.83, 4 Pr 3.88
Pr  0.8703  0.3703  0.5000  4 Sm 3.70-3.75, 6 Ac 3.80-3.86, 2 Pr 3.88
Sm  0.2491  0.2491  0.0000  4 Pr 3.70-3.75, 4 Ac 3.75, 4 Sm 3.80
Sm  0.7509  0.7509  0.0000  4 Pr 3.70-3.75, 4 Ac 3.75, 4 Sm 3.80

# 5
A relaxed Ac6PrSm3 crystal. Source: Alexandria, functional PBE-GGA.

Properties
Space group: P2_1/m (11)
Total DFT energy (no corrections): -4.29 eV per atom
Energy of formation: 0.07 eV/atom

Cell lengths 12.8234, 3.8322, 17.1275 Å; angles 90.00, 103.99, 90.00 degrees
Closest atoms and distances in Å follow each position.
Atoms (fractional coordinates):
Ac  0.1086  0.2500  0.3550  3 Pr 3.69-3.90, 2 Sm 3.71, 7 Ac 3.83-4.05
Ac  0.1114  0.7500  0.9588  4 Sm 3.62-3.71, 8 Ac 3.83-3.99
Ac  0.1602  0.2500  0.7667  5 Sm 3.83-3.95, 6 Ac 3.83-4.05, 2 Pr 4.01
Ac  0.3447  0.2500  0.1106  6 Sm 3.67-3.96, 6 Ac 3.83-3.96
Ac  0.3638  0.7500  0.3161  3 Sm 3.57-3.81, 9 Ac 3.82-4.00
Ac  0.3719  0.2500  0.5223  2 Sm 3.74, 8 Ac 3.82-4.03, 2 Pr 3.84
Ac  0.6281  0.7500  0.4777  2 Sm 3.74, 8 Ac 3.82-4.03, 2 Pr 3.84
Ac  0.6362  0.2500  0.6839  3 Sm 3.57-3.81, 9 Ac 3.82-4.00
Ac  0.6553  0.7500  0.8894  6 Sm 3.67-3.96, 6 Ac 3.83-3.96
Ac  0.8398  0.7500  0.2333  5 Sm 3.83-3.95, 6 Ac 3.83-4.05, 2 Pr 4.01
Ac  0.8886  0.2500  0.0412  4 Sm 3.62-3.71, 8 Ac 3.83-3.99
Ac  0.8914  0.7500  0.6450  3 Pr 3.69-3.90, 2 Sm 3.71, 7 Ac 3.83-4.05
Pr  0.1271  0.7500  0.5565  7 Ac 3.69-4.01, 1 Sm 3.77, 4 Pr 3.83-3.87
Pr  0.8729  0.2500  0.4435  7 Ac 3.69-4.01, 1 Sm 3.77, 4 Pr 3.83-3.87
Sm  0.1126  0.7500  0.1702  9 Ac 3.57-3.90, 2 Sm 3.83
Sm  0.3849  0.7500  0.9259  6 Ac 3.67-3.95, 5 Sm 3.68-3.90
Sm  0.3912  0.7500  0.7124  3 Sm 3.68-3.83, 7 Ac 3.74-3.96, 1 Pr 3.77
Sm  0.6088  0.2500  0.2876  3 Sm 3.68-3.83, 7 Ac 3.74-3.96, 1 Pr 3.77
Sm  0.6151  0.2500  0.0741  6 Ac 3.67-3.95, 5 Sm 3.68-3.90
Sm  0.8874  0.2500  0.8298  9 Ac 3.57-3.90, 2 Sm 3.83

# 6
A relaxed Ac5Pr4Sm crystal. Source: Alexandria, functional PBE-GGA.

Properties
Space group: P4/mmm (123)
ΔE to the lowest computed polymorph: 0.0 meV per atom
Total DFT energy (no corrections): -4.34 eV per atom
Energy of formation: 0.10 eV/atom

Cell lengths 4.4890, 4.4890, 19.8777 Å; angles 90.00, 90.00, 90.00 degrees
Closest atoms and distances in Å follow each position.
Atoms (fractional coordinates):
Ac  0.0000  0.0000  0.0000  8 Pr 3.75, 2 Ac 3.98
Ac  0.0000  0.0000  0.2001  8 Pr 3.74, 2 Ac 3.98-4.00
Ac  0.0000  0.0000  0.4015  4 Sm 3.73, 4 Pr 3.76, 2 Ac 3.92-4.00
Ac  0.0000  0.0000  0.5985  4 Sm 3.73, 4 Pr 3.76, 2 Ac 3.92-4.00
Ac  0.0000  0.0000  0.7999  8 Pr 3.74, 2 Ac 3.98-4.00
Pr  0.5000  0.5000  0.1004  8 Ac 3.74-3.75, 2 Pr 3.97-3.99
Pr  0.5000  0.5000  0.2999  8 Ac 3.74-3.76, 1 Pr 3.97, 1 Sm 3.98
Pr  0.5000  0.5000  0.7001  8 Ac 3.74-3.76, 1 Pr 3.97, 1 Sm 3.98
Pr  0.5000  0.5000  0.8996  8 Ac 3.74-3.75, 2 Pr 3.97-3.99
Sm  0.5000  0.5000  0.5000  8 Ac 3.73, 2 Pr 3.98

# 7
A relaxed AcPr10Sm6 crystal. Source: Alexandria, functional PBE-GGA.

Properties
Space group: P-31m (162)
Total DFT energy (no corrections): -4.59 eV per atom
Energy of formation: 0.13 eV/atom

Cell lengths 10.0490, 10.0490, 7.0770 Å; angles 90.00, 90.00, 120.00 degrees
Closest atoms and distances in Å follow each position.
Atoms (fractional coordinates):
Ac  0.0000  0.0000  0.0000  6 Pr 3.63, 6 Sm 3.97
Pr  0.0000  0.2798  0.3249  5 Sm 3.50-3.76, 1 Ac 3.63, 4 Pr 3.75-3.85
Pr  0.0000  0.7202  0.6751  5 Sm 3.50-3.76, 1 Ac 3.63, 4 Pr 3.75-3.85
Pr  0.2798  0.0000  0.3249  5 Sm 3.50-3.76, 1 Ac 3.63, 4 Pr 3.75-3.85
Pr  0.2798  0.2798  0.6751  5 Sm 3.50-3.76, 1 Ac 3.63, 4 Pr 3.75-3.85
Pr  0.3333  0.6667  0.0000  6 Sm 3.45, 2 Pr 3.54
Pr  0.3333  0.6667  0.5000  8 Pr 3.54-3.85, 6 Sm 3.86
Pr  0.6667  0.3333  0.0000  6 Sm 3.45, 2 Pr 3.54
Pr  0.6667  0.3333  0.5000  8 Pr 3.54-3.85, 6 Sm 3.86
Pr  0.7202  0.0000  0.6751  5 Sm 3.50-3.76, 1 Ac 3.63, 4 Pr 3.75-3.85
Pr  0.7202  0.7202  0.3249  5 Sm 3.50-3.76, 1 Ac 3.63, 4 Pr 3.75-3.85
Sm  0.0000  0.3720  0.8099  9 Pr 3.45-3.86, 1 Sm 3.72
Sm  0.0000  0.6280  0.1901  9 Pr 3.45-3.86, 1 Sm 3.72
Sm  0.3720  0.0000  0.8099  9 Pr 3.45-3.86, 1 Sm 3.72
Sm  0.3720  0.3720  0.1901  9 Pr 3.45-3.86, 1 Sm 3.72
Sm  0.6280  0.0000  0.1901  9 Pr 3.45-3.86, 1 Sm 3.72
Sm  0.6280  0.6280  0.8099  9 Pr 3.45-3.86, 1 Sm 3.72

# 8
A relaxed AcPr2Sm crystal. Source: Alexandria, functional PBE-GGA.

Properties
Space group: Fm-3m (225)
ΔE to the lowest computed polymorph: 125.4 meV per atom
Total DFT energy (no corrections): -4.45 eV per atom
Energy of formation: 0.15 eV/atom

Cell lengths 5.9827, 5.9827, 5.9827 Å; angles 60.00, 60.00, 60.00 degrees
Closest atoms and distances in Å follow each position.
Atoms (fractional coordinates):
Ac  0.0000  0.0000  0.0000  8 Pr 3.66
Pr  0.2500  0.2500  0.2500  4 Ac 3.66, 4 Sm 3.66
Pr  0.7500  0.7500  0.7500  4 Ac 3.66, 4 Sm 3.66
Sm  0.5000  0.5000  0.5000  8 Pr 3.66

# 9
A relaxed Ac6Pr3Sm crystal. Source: Alexandria, functional PBE-GGA.

Properties
Space group: C2/m (12)
Total DFT energy (no corrections): -4.18 eV per atom
Energy of formation: 0.20 eV/atom

Cell lengths 7.0817, 7.0817, 9.9760 Å; angles 107.43, 107.43, 63.01 degrees
Closest atoms and distances in Å follow each position.
Atoms (fractional coordinates):
Ac  0.0535  0.5554  0.2011  3 Pr 3.46-3.65, 3 Ac 3.69-3.76
Ac  0.1272  0.1272  0.4150  1 Sm 3.88, 7 Ac 3.97-4.16, 3 Pr 4.21-4.28
Ac  0.4446  0.9465  0.7989  3 Pr 3.46-3.65, 3 Ac 3.69-3.76
Ac  0.5554  0.0535  0.2011  3 Pr 3.46-3.65, 3 Ac 3.69-3.76
Ac  0.8728  0.8728  0.5850  1 Sm 3.88, 7 Ac 3.97-4.16, 3 Pr 4.21-4.28
Ac  0.9465  0.4446  0.7989  3 Pr 3.46-3.65, 3 Ac 3.69-3.76
Pr  0.4460  0.4460  0.8321  1 Pr 3.14, 2 Ac 3.46
Pr  0.5000  0.5000  0.5000  2 Pr 3.59, 4 Ac 3.60
Pr  0.5540  0.5540  0.1679  1 Pr 3.14, 2 Ac 3.46
Sm  0.0000  0.0000  0.0000  10 Ac 3.88-4.04, 4 Pr 4.02

# 10
A relaxed AcPr6Sm2 crystal. Source: Alexandria, functional PBE-GGA.

Properties
Space group: Cmmm (65)
ΔE to the lowest computed polymorph: 0.0 meV per atom
Total DFT energy (no corrections): -4.68 eV per atom
Energy of formation: 0.01 eV/atom

Cell lengths 10.1871, 10.1871, 3.6604 Å; angles 90.00, 90.00, 120.15 degrees
Closest atoms and distances in Å follow each position.
Atoms (fractional coordinates):
Ac  0.0000  0.0000  0.0000  2 Ac 3.66, 12 Pr 3.88-3.90
Pr  0.0005  0.3380  0.5000  5 Pr 3.31-3.66
Pr  0.3363  0.3363  0.5000  5 Pr 3.33-3.66
Pr  0.3380  0.0005  0.5000  5 Pr 3.31-3.66
Pr  0.6620  0.9995  0.5000  5 Pr 3.31-3.66
Pr  0.6637  0.6637  0.5000  5 Pr 3.33-3.66
Pr  0.9995  0.6620  0.5000  5 Pr 3.31-3.66
Sm  0.3334  0.6666  0.0000  2 Sm 3.66, 12 Pr 3.83-3.84
Sm  0.6666  0.3334  0.0000  2 Sm 3.66, 12 Pr 3.83-3.84